DFT (PBE) results for a geometry-optimized LiTbEr2Se4 structure.

Cell and atoms, written as CIF:
```
data_LiTbEr2Se4
_chemical_formula_sum 'Li1 Tb1 Er2 Se4'
_cell_length_a 4.022
_cell_length_b 6.999
_cell_length_c 6.993
_cell_angle_alpha 109.25
_cell_angle_beta 90.00
_cell_angle_gamma 90.00
_symmetry_space_group_name_H-M 'P 1'
_symmetry_Int_Tables_number 1
loop_
_symmetry_equiv_pos_as_xyz
'x,y,z'
loop_
_atom_site_label
_atom_site_type_symbol
_atom_site_fract_x
_atom_site_fract_y
_atom_site_fract_z
Se1 Se 0.500 0.258 0.249
Li1 Li 0.500 0.500 0.000
Se2 Se 0.000 0.256 0.753
Er1 Er 0.000 0.500 0.500
Se3 Se 0.000 0.744 0.247
Se4 Se 0.500 0.742 0.751
Er2 Er 0.500 0.000 0.500
Tb1 Tb 0.000 0.000 0.000
```

Properties
Its space group is P2/m (10). For the density of states at the Fermi level, the calculation gives 0.32 states/eV/atom. The value obtained for the formation energy (no corrections) is -1.729 eV per atom. The calculation puts the total energy at -5.43 eV/atom.

=====

DFT (PBE) results for a geometry-optimized Li3TbEr2Se6 structure.

Cell and atoms, written as CIF:
```
data_Li3TbEr2Se6
_chemical_formula_sum 'Li3 Tb1 Er2 Se6'
_cell_length_a 7.022
_cell_length_b 7.022
_cell_length_c 6.902
_cell_angle_alpha 99.77
_cell_angle_beta 99.77
_cell_angle_gamma 120.00
_symmetry_space_group_name_H-M 'P 1'
_symmetry_Int_Tables_number 1
loop_
_symmetry_equiv_pos_as_xyz
'x,y,z'
loop_
_atom_site_label
_atom_site_type_symbol
_atom_site_fract_x
_atom_site_fract_y
_atom_site_fract_z
Se1 Se 0.252 0.252 0.747
Li1 Li 0.833 0.167 0.500
Li2 Li 0.500 0.500 0.500
Se2 Se 0.579 0.916 0.748
Er1 Er 0.333 0.667 0.000
Se3 Se 0.421 0.084 0.252
Se4 Se 0.916 0.579 0.748
Se5 Se 0.084 0.421 0.252
Li3 Li 0.167 0.833 0.500
Er2 Er 0.667 0.333 0.000
Se6 Se 0.748 0.748 0.253
Tb1 Tb 0.000 0.000 0.000
```

Properties
Its space group is C2/m (12). For the density of states at the Fermi level, the calculation gives 0.00 states/eV/atom. The value obtained for the formation energy (no corrections) is -1.697 eV per atom. The calculation puts the total energy at -5.06 eV/atom.

=====

DFT (PBE) results for a geometry-optimized LiErTeSe structure.

Cell and atoms, written as CIF:
```
data_LiErTeSe
_chemical_formula_sum 'Li1 Er1 Te1 Se1'
_cell_length_a 4.173
_cell_length_b 4.173
_cell_length_c 7.197
_cell_angle_alpha 73.15
_cell_angle_beta 73.15
_cell_angle_gamma 60.00
_symmetry_space_group_name_H-M 'P 1'
_symmetry_Int_Tables_number 1
loop_
_symmetry_equiv_pos_as_xyz
'x,y,z'
loop_
_atom_site_label
_atom_site_type_symbol
_atom_site_fract_x
_atom_site_fract_y
_atom_site_fract_z
Se1 Se 0.858 0.858 0.426
Li1 Li 0.112 0.112 0.665
Er1 Er 0.601 0.601 0.198
Te1 Te 0.359 0.359 0.923
```

Properties
Its space group is R3m (160). The value obtained for the formation energy (no corrections) is -1.474 eV per atom. The calculation puts the total energy at -4.75 eV/atom.

=====

DFT (PBE) results for a geometry-optimized LiEr3Th3Se8 structure.

Cell and atoms, written as CIF:
```
data_LiEr3Th3Se8
_chemical_formula_sum 'Li1 Er3 Th3 Se8'
_cell_length_a 8.128
_cell_length_b 8.128
_cell_length_c 8.257
_cell_angle_alpha 119.49
_cell_angle_beta 90.00
_cell_angle_gamma 120.00
_symmetry_space_group_name_H-M 'P 1'
_symmetry_Int_Tables_number 1
loop_
_symmetry_equiv_pos_as_xyz
'x,y,z'
loop_
_atom_site_label
_atom_site_type_symbol
_atom_site_fract_x
_atom_site_fract_y
_atom_site_fract_z
Se1 Se 0.744 0.487 0.731
Er1 Er 0.000 0.500 0.500
Th1 Th 0.000 0.500 0.000
Se2 Se 0.256 0.009 0.263
Se3 Se 0.754 0.009 0.263
Se4 Se 0.246 0.991 0.737
Er2 Er 0.500 0.500 0.500
Th2 Th 0.000 0.000 0.000
Th3 Th 0.500 0.500 0.000
Er3 Er 0.500 0.000 0.500
Se5 Se 0.247 0.493 0.737
Se6 Se 0.256 0.513 0.269
Li1 Li 0.000 0.000 0.500
Se7 Se 0.744 0.991 0.737
Se8 Se 0.753 0.507 0.263
```

Properties
Its space group is R-3m (166). For the density of states at the Fermi level, the calculation gives 0.63 states/eV/atom. The value obtained for the formation energy (no corrections) is -1.658 eV per atom. The calculation puts the total energy at -6.04 eV/atom.

=====

DFT (PBE) results for a geometry-optimized Li3Er2ThSe6 structure.

Cell and atoms, written as CIF:
```
data_Li3Er2ThSe6
_chemical_formula_sum 'Li3 Er2 Th1 Se6'
_cell_length_a 7.027
_cell_length_b 7.027
_cell_length_c 6.941
_cell_angle_alpha 99.71
_cell_angle_beta 99.71
_cell_angle_gamma 120.02
_symmetry_space_group_name_H-M 'P 1'
_symmetry_Int_Tables_number 1
loop_
_symmetry_equiv_pos_as_xyz
'x,y,z'
loop_
_atom_site_label
_atom_site_type_symbol
_atom_site_fract_x
_atom_site_fract_y
_atom_site_fract_z
Se1 Se 0.426 0.086 0.258
Se2 Se 0.746 0.746 0.259
Se3 Se 0.574 0.914 0.742
Li1 Li 0.500 0.500 0.500
Th1 Th 0.000 0.000 0.000
Li2 Li 0.832 0.168 0.500
Se4 Se 0.254 0.254 0.741
Li3 Li 0.168 0.832 0.500
Se5 Se 0.914 0.574 0.742
Er1 Er 0.334 0.666 0.000
Se6 Se 0.086 0.426 0.258
Er2 Er 0.666 0.334 0.000
```

Properties
Its space group is C2/m (12). For the density of states at the Fermi level, the calculation gives 0.33 states/eV/atom. The value obtained for the formation energy (no corrections) is -1.612 eV per atom. The calculation puts the total energy at -5.21 eV/atom.

=====

DFT (PBE) results for a geometry-optimized LiEr3Th4Se8 structure.

Cell and atoms, written as CIF:
```
data_LiEr3Th4Se8
_chemical_formula_sum 'Li1 Er3 Th4 Se8'
_cell_length_a 7.931
_cell_length_b 8.526
_cell_length_c 7.931
_cell_angle_alpha 117.72
_cell_angle_beta 120.00
_cell_angle_gamma 90.00
_symmetry_space_group_name_H-M 'P 1'
_symmetry_Int_Tables_number 1
loop_
_symmetry_equiv_pos_as_xyz
'x,y,z'
loop_
_atom_site_label
_atom_site_type_symbol
_atom_site_fract_x
_atom_site_fract_y
_atom_site_fract_z
Se1 Se 0.238 0.725 0.475
Er1 Er 0.500 0.500 0.500
Se2 Se 0.762 0.275 0.013
Li1 Li 0.000 0.500 0.000
Se3 Se 0.256 0.269 0.513
Se4 Se 0.238 0.725 0.987
Se5 Se 0.744 0.731 0.487
Th1 Th 0.000 0.000 0.500
Er2 Er 0.000 0.500 0.500
Th2 Th 0.000 0.000 0.000
Th3 Th 0.500 0.000 0.500
Se6 Se 0.749 0.725 0.987
Se7 Se 0.762 0.275 0.525
Er3 Er 0.500 0.500 0.000
Th4 Th 0.500 0.000 0.000
Se8 Se 0.251 0.275 0.013
```

Properties
Its space group is R-3m (166). For the density of states at the Fermi level, the calculation gives 0.59 states/eV/atom. The value obtained for the formation energy (no corrections) is -1.606 eV per atom. The calculation puts the total energy at -6.18 eV/atom.